# NaAuI2

A geometry-optimized NaAuI2 structure (GGA-PBE, Alexandria).

Results
Theoretical density ... 4.930 Mg/m³
Uncorrected formation energy ... -0.5628 eV/atom
Space-group type ... I-42d
E ... -2.4870 eV/atom

Cell: 6.855 6.855 13.584 Å, 90.00 90.00 90.00°
Element x y z (fractional)
Na  0.000  0.000  0.000
Na  0.000  0.500  0.250
Na  0.500  0.000  0.750
Na  0.500  0.500  0.500
Au  0.000  0.000  0.500
Au  0.000  0.500  0.750
Au  0.500  0.000  0.250
Au  0.500  0.500  0.000
I  0.217  0.250  0.625
I  0.250  0.717  0.875
I  0.250  0.783  0.375
I  0.283  0.250  0.125
I  0.717  0.750  0.125
I  0.750  0.217  0.375
I  0.750  0.283  0.875
I  0.783  0.750  0.625